Computed, not measured: an optimized crystal structure of Na3Ho2ThS6 at the GGA-PBE level of DFT.

a b c (Å): 3.971 8.192 9.072
angles (deg): 104.55 102.64 90.00
Sites, in units of the cell vectors:
S 0.336 0.901 0.673
S 0.006 0.250 0.012
S 0.328 0.429 0.656
S 0.672 0.571 0.344
S 0.994 0.750 0.988
S 0.664 0.099 0.327
Na 0.832 0.170 0.665
Na 0.168 0.830 0.335
Na 0.500 0.500 0.000
Th 0.500 0.000 0.000
Ho 0.169 0.339 0.337
Ho 0.831 0.661 0.663

As for the space-group type: C2/m, No. 12. The uncorrected formation energy is -1.765 eV per atom.


Computed, not measured: an optimized crystal structure of Na3Ho3TiS8 at the GGA-PBE level of DFT.

a b c (Å): 7.741 7.741 8.098
angles (deg): 118.57 90.00 120.00
Sites, in units of the cell vectors:
S 0.223 0.447 0.711
S 0.777 0.553 0.289
S 0.223 0.987 0.710
S 0.777 0.013 0.290
S 0.743 0.485 0.727
S 0.236 0.013 0.290
S 0.257 0.515 0.273
S 0.764 0.987 0.710
Na 0.500 0.500 0.000
Na 0.000 0.500 0.000
Na 0.000 0.000 0.000
Ho 0.000 0.500 0.500
Ho 0.500 0.000 0.500
Ho 0.500 0.500 0.500
Ti 0.000 0.000 0.500

As for the space-group type: R-3m, No. 166. The uncorrected formation energy is -1.710 eV per atom.


Computed, not measured: an optimized crystal structure of Na2Ho2TiS6 at the GGA-PBE level of DFT.

a b c (Å): 6.589 6.589 7.106
angles (deg): 99.05 99.05 119.27
Sites, in units of the cell vectors:
Ti 0.000 0.000 0.500
S 0.071 0.380 0.715
S 0.380 0.071 0.715
S 0.768 0.768 0.712
S 0.232 0.232 0.288
S 0.620 0.929 0.285
S 0.929 0.620 0.285
Na 0.170 0.830 0.000
Na 0.830 0.170 0.000
Ho 0.333 0.667 0.500
Ho 0.667 0.333 0.500

As for the space-group type: C2/m, No. 12. The uncorrected formation energy is -1.649 eV per atom.


Computed, not measured: an optimized crystal structure of Na2HoTiS4 at the GGA-PBE level of DFT.

a b c (Å): 3.777 6.568 7.028
angles (deg): 108.10 90.00 90.00
Each line ends with the local moment (μB).
Sites, in units of the cell vectors:
Na 0.000 0.500 0.500  0.00
Na 0.500 0.000 0.500  0.00
S 0.500 0.221 0.213  -0.02
S 0.000 0.759 0.223  -0.01
S 0.000 0.241 0.777  -0.01
S 0.500 0.779 0.787  -0.02
Ti 0.000 0.000 0.000  0.82
Ho 0.500 0.500 0.000  0.04

As for the space-group type: P2/m, No. 10. The uncorrected formation energy is -1.552 eV per atom.


Computed, not measured: an optimized crystal structure of Na2HoTlS4 at the GGA-PBE level of DFT.

a b c (Å): 3.938 6.894 7.155
angles (deg): 109.39 90.00 90.00
Sites, in units of the cell vectors:
S 0.500 0.239 0.224
S 0.500 0.761 0.776
S 0.000 0.267 0.767
S 0.000 0.733 0.233
Tl 0.000 0.000 0.000
Ho 0.500 0.500 0.000
Na 0.500 0.000 0.500
Na 0.000 0.500 0.500

As for the space-group type: P2/m, No. 10. The uncorrected formation energy is -1.162 eV per atom.


Computed, not measured: an optimized crystal structure of NaHoTm2S4 at the GGA-PBE level of DFT.

a b c (Å): 3.860 6.750 6.756
angles (deg): 109.01 90.00 90.00
Sites, in units of the cell vectors:
Tm 0.500 0.000 0.500
Tm 0.000 0.500 0.500
S 0.500 0.749 0.746
S 0.000 0.244 0.741
S 0.500 0.251 0.254
S 0.000 0.756 0.259
Na 0.500 0.500 0.000
Ho 0.000 0.000 0.000

As for the space-group type: P2/m, No. 10. The uncorrected formation energy is -1.898 eV per atom.


Computed, not measured: an optimized crystal structure of NaHo2TmS4 at the GGA-PBE level of DFT.

a b c (Å): 3.875 6.763 6.765
angles (deg): 70.93 90.00 90.00
Sites, in units of the cell vectors:
Na 0.500 0.500 0.000
S 0.000 0.246 0.256
S 0.500 0.252 0.747
S 0.000 0.754 0.744
S 0.500 0.748 0.253
Tm 0.000 0.500 0.500
Ho 0.500 0.000 0.500
Ho 0.000 0.000 0.000

As for the space-group type: P2/m, No. 10. The uncorrected formation energy is -1.900 eV per atom.


Computed, not measured: an optimized crystal structure of Na4Ho3TmS8 at the GGA-PBE level of DFT.

a b c (Å): 7.915 8.094 7.915
angles (deg): 119.31 120.00 90.00
Sites, in units of the cell vectors:
Na 0.500 0.000 0.500
Na 0.000 0.000 0.500
Na 0.500 0.000 0.000
Na 0.000 0.000 0.000
S 0.742 0.726 0.484
S 0.744 0.725 0.984
S 0.759 0.275 0.016
S 0.241 0.725 0.482
S 0.759 0.275 0.518
S 0.241 0.725 0.984
S 0.258 0.274 0.516
S 0.256 0.275 0.016
Ho 0.500 0.500 0.000
Ho 0.500 0.500 0.500
Ho 0.000 0.500 0.500
Tm 0.000 0.500 0.000

As for the space-group type: R-3m, No. 166. The uncorrected formation energy is -1.853 eV per atom.


Computed, not measured: an optimized crystal structure of Na2HoTmS4 at the GGA-PBE level of DFT.

a b c (Å): 3.949 6.837 7.055
angles (deg): 108.84 90.00 90.00
Sites, in units of the cell vectors:
Ho 0.500 0.500 0.000
S 0.500 0.761 0.776
S 0.000 0.256 0.775
S 0.500 0.239 0.224
S 0.000 0.744 0.225
Na 0.500 0.000 0.500
Na 0.000 0.500 0.500
Tm 0.000 0.000 0.000

As for the space-group type: P2/m, No. 10. The uncorrected formation energy is -1.854 eV per atom.


Computed, not measured: an optimized crystal structure of NaHo4TmS8 at the GGA-PBE level of DFT.

a b c (Å): 8.059 8.059 8.037
angles (deg): 59.91 59.91 60.00
Sites, in units of the cell vectors:
S 0.238 0.238 0.741
S 0.759 0.759 0.256
S 0.784 0.238 0.741
S 0.239 0.239 0.283
S 0.238 0.784 0.741
S 0.225 0.759 0.256
S 0.758 0.758 0.726
S 0.759 0.225 0.256
Ho 0.005 0.486 0.505
Ho 0.625 0.625 0.126
Ho 0.005 0.005 0.505
Ho 0.486 0.005 0.505
Tm 0.005 0.005 0.986
Na 0.375 0.375 0.874

As for the space-group type: R3m, No. 160. The uncorrected formation energy is -1.961 eV per atom.


Computed, not measured: an optimized crystal structure of Na4HoTm3S8 at the GGA-PBE level of DFT.

a b c (Å): 7.878 8.083 7.877
angles (deg): 119.19 120.00 90.00
Sites, in units of the cell vectors:
Na 0.000 0.000 0.500
Na 0.000 0.000 0.000
Na 0.500 0.000 0.000
Na 0.500 0.000 0.500
Ho 0.000 0.500 0.000
S 0.758 0.276 0.515
S 0.243 0.724 0.982
S 0.741 0.724 0.483
S 0.757 0.276 0.018
S 0.242 0.724 0.485
S 0.259 0.276 0.517
S 0.740 0.724 0.982
S 0.260 0.276 0.018
Tm 0.500 0.500 0.500
Tm 0.000 0.500 0.500
Tm 0.500 0.500 0.000

As for the space-group type: R-3m, No. 166. The uncorrected formation energy is -1.855 eV per atom.


- Number 5 is which compound?
  Na2HoTlS4